The following is a DFT calculation (PBE) of a relaxed structure of Pm4HoSe7.

- density of states at the Fermi level (states/eV/atom) = 0.1228
- raw formation energy (kcal/mol of atoms) = -43.42

Unit cell a=13.680 b=4.059 c=12.396 alpha=90.00 beta=104.82 gamma=90.00
Space group Cm (No. 8)
One atom of each set of equivalent atoms:
Pm (0.000, 0.000, 0.000)
Pm (0.087, 0.500, 0.384)
Pm (0.188, 0.000, 0.766)
Pm (0.387, 0.500, 0.573)
Ho (0.275, 0.500, 0.153)
Se (0.048, 0.500, 0.626)
Se (0.131, 0.500, 0.931)
Se (0.153, 0.000, 0.223)
Se (0.226, 0.000, 0.524)
Se (0.348, 0.500, 0.791)
Se (0.384, 0.000, 0.079)
Se (0.425, 0.500, 0.355)